Record 1
Compound: Ba7Zn2Ga2
Source: the Alexandria database
Functional: PBE
Structure: optimized geometry

Cell and atoms, written as POSCAR:
```
Ba7Zn2Ga2
1.0
7.664 -0.007 -1.220
0.000 8.453 0.007
-1.695 0.002 7.573
Ba Zn Ga
7 2 2
Direct
0.500 0.279 0.000
0.500 0.725 0.500
0.000 0.721 0.500
0.500 0.275 0.500
0.000 0.279 0.500
0.000 0.000 0.000
0.500 0.721 0.000
0.694 0.000 0.306
0.306 0.000 0.694
0.145 0.500 0.145
0.855 0.500 0.855
```

Results
Space-group type: C2/m, No. 12
Crystal system: monoclinic
ΔH_f (0 K) (eV/atom): -0.06


Record 2
Compound: RbBa2Ir2
Source: the Alexandria database
Functional: PBE
Structure: optimized geometry

Cell and atoms, written as POSCAR:
```
RbBa2Ir2
1.0
-0.828 8.432 -3.987
-7.466 -2.998 -4.791
-2.082 1.026 2.603
Ir Ba Rb
4 4 2
Direct
0.159 0.341 0.000
0.659 0.159 0.000
0.341 0.841 0.000
0.841 0.659 0.000
0.363 0.137 0.500
0.637 0.863 0.500
0.137 0.637 0.500
0.863 0.363 0.500
0.500 0.500 0.000
0.000 0.000 0.000
```

Results
Space-group type: P4/mbm, No. 127
Crystal system: tetragonal
ΔH_f (0 K) (eV/atom): 0.38


Record 3
Compound: K2ZrMn
Source: the Alexandria database
Functional: PBE
Structure: optimized geometry

Cell and atoms, written as POSCAR:
```
K2ZrMn
1.0
-1.257 1.654 2.955
-2.307 -2.726 0.545
7.427 -5.086 6.005
K Mn Zr
2 1 1
Direct
0.000 0.000 0.940
0.500 0.500 0.326
0.000 0.000 0.577
0.500 0.500 0.658
```

Results
Space-group type: P4mm, No. 99
Crystal system: tetragonal
ΔH_f (0 K) (eV/atom): 0.57


Record 4
Compound: TiTe2Mo2Se4
Source: the Alexandria database
Functional: PBE
Structure: optimized geometry

Cell and atoms, written as POSCAR:
```
TiTe2Mo2Se4
1.0
-2.889 0.956 -1.513
0.270 -3.115 1.333
-7.709 7.714 19.598
Se Mo Te Ti
4 2 2 1
Direct
0.000 0.000 0.732
0.000 0.000 0.585
0.667 0.333 0.898
0.667 0.333 0.045
0.000 0.000 0.972
0.667 0.333 0.658
0.667 0.333 0.416
0.667 0.333 0.242
0.000 0.000 0.329
```

Results
Space-group type: P3m1, No. 156
Crystal system: trigonal
Formation energy (no corrections) (meV/atom): -595.3


Number 1: M_tot 0.00 Bohr magnetons per cell. Number 2: M_tot 0.00 Bohr magnetons per cell. Number 3: M_tot 2.01 Bohr magnetons per cell. Number 4: M_tot 0.01 Bohr magnetons per cell.